Y3Tm4In2 (GGA-PBE, optimized geometry); Fermi-level density of states = 9.9 states/eV/cell; DFT formation energy = -0.211 eV/atom
1.0
5.239 0.000 -0.001
2.618 6.252 0.513
2.618 3.400 8.317
Y Tm In
3 4 2
Cartesian
5.238 3.436 5.553
0.000 0.000 0.000
5.236 6.216 3.275
5.236 5.622 8.224
7.856 5.917 5.773
2.618 3.735 3.055
5.238 4.030 0.604
5.237 1.776 2.690
5.238 7.876 6.139

=====

Y2TmIn (GGA-PBE, optimized geometry); Fermi-level density of states = 11.3 states/eV/cell; excess energy over the best structure of this formula in the dataset = 0.1838 eV/atom; DFT formation energy = -0.084 eV/atom
1.0
-1.148 0.941 -3.160
5.581 -4.899 -3.486
-5.405 -6.698 -0.032
Y Tm In
4 2 2
Cartesian
0.196 -6.538 -4.911
-1.167 -4.118 -1.767
-2.215 -9.045 -4.782
1.244 -1.611 -1.896
3.534 -5.506 -5.816
-4.506 -5.150 -0.861
1.834 -4.632 -3.010
-2.805 -6.024 -3.668

=====

Y12Tm3In (GGA-PBE, optimized geometry); Fermi-level density of states = 21.1 states/eV/cell; DFT formation energy = -0.044 eV/atom
1.0
-1.406 -1.458 4.533
2.417 -4.290 -0.630
16.667 8.242 7.821
Y Tm In
12 3 1
Cartesian
0.506 -2.874 1.951
4.590 -0.854 3.868
8.839 1.247 5.862
13.088 3.349 7.856
1.318 0.270 3.214
5.523 2.350 5.188
9.739 4.435 7.166
13.944 6.514 9.139
3.229 -1.146 0.633
7.434 0.934 2.606
11.650 3.018 4.585
15.855 5.098 6.558
4.143 2.049 1.944
8.334 4.121 3.910
12.524 6.194 5.877
0.000 0.000 0.000